No. 1
4
Lattice="4.8698 0.0000 0.0000 0.0000 4.8698 0.0000 0.0000 0.0000 3.1507" Properties=species:S:1:pos:R:3 comment="PBE-GGA LaTa2Fe, relaxed" formation_enthalpy_0k_mev_per_atom=744 m_tot_mub_per_fu=1.271 pbc="T T T"
La 0.0000 2.4349 1.5753
Fe 2.4349 0.0000 1.5753
Ta 0.0000 0.0000 0.0000
Ta 2.4349 2.4349 0.0000

---

No. 2
4
Lattice="9.6015 -0.0007 -0.0004 9.0952 3.0765 -0.0004 9.0952 1.4962 2.6881" Properties=species:S:1:pos:R:3 comment="PBE-GGA LaTa2Fe, relaxed" formation_enthalpy_0k_mev_per_atom=481 m_tot_mub_per_fu=0.997 pbc="T T T"
La 21.0627 3.4650 2.0366
Ta 6.7023 1.1026 0.6481
Ta 27.4853 4.5216 2.6576
Fe 14.2295 2.3409 1.3759

---

No. 3
10
Lattice="6.5746 0.0000 0.0000 0.0000 6.5746 0.0000 0.0000 0.0000 4.9099" Properties=species:S:1:pos:R:3 comment="PBE-GGA La2TaFe2, relaxed" formation_enthalpy_0k_mev_per_atom=300 m_tot_mub_per_fu=1.678 pbc="T T T"
Ta 3.2873 3.2873 0.0000
Ta 0.0000 0.0000 0.0000
Fe 5.7480 4.1138 0.0000
Fe 4.1138 0.8266 0.0000
Fe 2.4607 5.7480 0.0000
Fe 0.8266 2.4607 0.0000
La 5.3991 2.1118 2.4550
La 2.1118 1.1754 2.4550
La 1.1754 4.4627 2.4550
La 4.4627 5.3991 2.4550

---

No. 4
4
Lattice="-2.9549 0.1767 -0.8807 0.3550 -2.5519 -1.7030 -2.2136 -4.6429 6.4957" Properties=species:S:1:pos:R:3 comment="PBE-GGA LaTa2Fe, relaxed" formation_enthalpy_0k_mev_per_atom=214 m_tot_mub_per_fu=0.001 pbc="T T T"
Ta -0.1151 -0.2414 0.3377
Ta -1.9396 -2.5291 0.5850
Fe -0.9842 -2.0644 2.8882
La -2.8815 -4.5047 3.3489

---

No. 5
4
Lattice="5.6112 0.0125 0.0000 3.0604 4.7032 0.0000 -4.3358 -2.3578 2.6697" Properties=species:S:1:pos:R:3 comment="PBE-GGA LaTaFe2, relaxed" formation_enthalpy_0k_mev_per_atom=608 m_tot_mub_per_fu=2.341 pbc="T T T"
La 4.3358 2.3578 0.0000
Ta 2.8056 0.0062 1.3349
Fe 0.0000 0.0000 0.0000
Fe 1.5302 2.3516 1.3349

---

No. 6
4
Lattice="5.2053 -0.0077 0.0168 4.2106 3.0605 0.0168 1.8892 0.6125 5.3562" Properties=species:S:1:pos:R:3 comment="PBE-GGA LaTa2Fe, relaxed" formation_enthalpy_0k_mev_per_atom=409 m_tot_mub_per_fu=0.001 pbc="T T T"
La 2.5189 0.8167 1.3931
Fe 5.7453 1.8627 3.3788
Ta 1.9047 0.6176 4.8779
Ta 8.6780 2.8136 3.7912